# 1
NaP2SeCl | Alexandria | GGA-PBE | optimized geometry; space group = P4/mmm; E_form (uncorrected) = 0.28 eV per atom; calculated volume = 163.5 Å³/f.u.
1.0
-2.784 0.597 3.710
-0.137 -4.630 0.642
6.003 0.438 4.435
P Na Se Cl
2 1 1 1
Direct
0.000 0.500 0.000
0.500 0.000 0.000
0.500 0.500 0.500
0.000 0.000 0.000
0.000 0.000 0.500

***

# 2
NaP2SeCl | Alexandria | GGA-PBE | optimized geometry; space group = P4/mmm; E_form (uncorrected) = 1.08 eV per atom; calculated volume = 122.5 Å³/f.u.
1.0
5.144 0.000 0.000
0.000 5.144 0.000
0.000 0.000 4.628
P Na Se Cl
2 1 1 1
Direct
0.000 0.500 0.000
0.500 0.000 0.000
0.000 0.000 0.000
0.500 0.500 0.500
0.000 0.000 0.500

***

# 3
NaPSeCl2 | Alexandria | GGA-PBE | optimized geometry; space group = P4/mmm; E_form (uncorrected) = 0.45 eV per atom; calculated volume = 141.4 Å³/f.u.
1.0
-2.076 1.040 -4.178
0.521 -4.544 -1.390
-5.531 -1.370 2.408
P Na Se Cl
1 1 1 2
Direct
0.000 0.000 0.500
0.000 0.000 0.000
0.500 0.500 0.500
0.000 0.500 0.000
0.500 0.000 0.000

***

# 4
NaPSeCl2 | Alexandria | GGA-PBE | optimized geometry; space group = P4/mmm; E_form (uncorrected) = -0.12 eV per atom; calculated volume = 141.0 Å³/f.u.
1.0
-1.234 0.419 5.310
-5.284 -0.788 -1.166
0.583 -4.651 0.502
P Na Se Cl
1 1 1 2
Direct
0.000 0.000 0.500
0.500 0.500 0.500
0.000 0.000 0.000
0.000 0.500 0.000
0.500 0.000 0.000

***

# 5
NaSiPCl2 | Alexandria | GGA-PBE | optimized geometry; space group = P4/mmm; E_form (uncorrected) = -0.32 eV per atom; calculated volume = 117.2 Å³/f.u.
1.0
-3.632 3.105 1.747
-3.473 -2.528 -2.726
-0.709 -2.794 3.493
P Si Na Cl
1 1 1 2
Direct
0.000 0.000 0.500
0.000 0.000 0.000
0.500 0.500 0.500
0.000 0.500 0.000
0.500 0.000 0.000

***

# 6
NaSiPCl2 | Alexandria | GGA-PBE | optimized geometry; space group = P4/mmm; E_form (uncorrected) = 0.49 eV per atom; calculated volume = 129.6 Å³/f.u.
1.0
4.879 0.000 0.000
0.000 4.879 0.000
0.000 0.000 5.446
P Si Na Cl
1 1 1 2
Direct
0.000 0.000 0.500
0.500 0.500 0.500
0.000 0.000 0.000
0.000 0.500 0.000
0.500 0.000 0.000

***

# 7
NaSnPCl2 | Alexandria | GGA-PBE | optimized geometry; space group = P4/mmm; E_form (uncorrected) = -0.06 eV per atom; calculated volume = 133.6 Å³/f.u.
1.0
4.930 0.000 0.000
0.000 4.930 0.000
0.000 0.000 5.496
P Na Sn Cl
1 1 1 2
Direct
0.000 0.000 0.500
0.000 0.000 0.000
0.500 0.500 0.500
0.000 0.500 0.000
0.500 0.000 0.000

***

# 8
NaSnPCl2 | Alexandria | GGA-PBE | optimized geometry; space group = P4/mmm; E_form (uncorrected) = -0.41 eV per atom; calculated volume = 153.4 Å³/f.u.
1.0
5.475 0.000 0.000
0.000 5.475 0.000
0.000 0.000 5.118
P Na Sn Cl
1 1 1 2
Direct
0.000 0.000 0.500
0.500 0.500 0.500
0.000 0.000 0.000
0.000 0.500 0.000
0.500 0.000 0.000

***

# 9
NaSrP2Cl | Alexandria | GGA-PBE | optimized geometry; space group = P4/mmm; E_form (uncorrected) = 0.02 eV per atom; calculated volume = 192.7 Å³/f.u.
1.0
-5.661 -1.229 -0.911
1.024 -0.452 -5.756
1.086 -5.463 0.622
Sr Na P Cl
1 1 2 1
Direct
0.000 0.000 0.000
0.500 0.500 0.500
0.000 0.500 0.000
0.500 0.000 0.000
0.000 0.000 0.500

***

# 10
NaSrP2Cl | Alexandria | GGA-PBE | optimized geometry; space group = P4/mmm; E_form (uncorrected) = -0.08 eV per atom; calculated volume = 130.4 Å³/f.u.
1.0
4.931 0.000 0.000
0.000 4.931 0.000
0.000 0.000 5.364
Sr Na P Cl
1 1 2 1
Direct
0.500 0.500 0.500
0.000 0.000 0.000
0.000 0.500 0.000
0.500 0.000 0.000
0.000 0.000 0.500

***

# 11
NaTaPCl2 | Alexandria | GGA-PBE | optimized geometry; space group = P4/mmm; E_form (uncorrected) = 0.76 eV per atom; calculated volume = 113.6 Å³/f.u.
1.0
-2.742 2.352 2.822
-0.603 -3.762 2.550
4.275 1.361 3.018
P Cl Na Ta
1 2 1 1
Direct
0.000 0.000 0.500
0.000 0.500 0.000
0.500 0.000 0.000
0.000 0.000 0.000
0.500 0.500 0.500

***

# 12
NaTaP2Cl | Alexandria | GGA-PBE | optimized geometry; space group = P4/mmm; E_form (uncorrected) = 1.38 eV per atom; calculated volume = 103.1 Å³/f.u.
1.0
-2.390 -4.038 0.981
-0.741 -0.700 -4.684
3.828 -2.328 -0.257
P Cl Na Ta
2 1 1 1
Direct
0.000 0.500 0.000
0.500 0.000 0.000
0.000 0.000 0.500
0.000 0.000 0.000
0.500 0.500 0.500

***

no.,excess energy over the best structure of this formula in the dataset (meV/atom)
1,0
2,797
3,573
4,0
5,0
6,809
7,349
8,0
9,103
10,0
11,1388
12,1733